Here is crystalline CaVO3 at its relaxed geometry from Alexandria via LeMat-Bulk. Energies are from PBE with a Hubbard U.

Unit cell a=3.8429 b=3.8429 c=3.8429 alpha=90.00 beta=90.00 gamma=90.00
Space group Pm-3m (No. 221)
Symmetry-distinct sites (fractional):
Ca 0.0000 0.0000 0.0000 x1
V 0.5000 0.5000 0.5000 x1
O 0.0000 0.5000 0.5000 x3

Summary:
For the calculated total energy, the calculation gives -36.36 eV per cell.